# 1
## YAl2Fe2 (GGA-PBE)

Data for crystalline YAl2Fe2 at its relaxed geometry.

Structure (extended XYZ):
```
5
Lattice="4.0733 0.0000 0.0000 0.0000 4.0733 0.0000 2.0366 2.0366 4.9806" Properties=species:S:1:pos:R:3 pbc="T T T"
Y 0.0000 0.0000 0.0000
Fe 2.0366 2.0366 1.0491
Fe 4.0733 4.0733 3.9316
Al 4.0733 2.0366 2.4903
Al 2.0366 4.0733 2.4903
```

Calculated values
- E above lowest polymorph (eV per formula unit) = 0.00
- formation energy from the elements (meV per atom) = -214
- SG = I4/mmm

# 2
## Li8Cd3Cu (GGA-PBE)

Data for crystalline Li8Cd3Cu at its relaxed geometry.

Structure (extended XYZ):
```
12
Lattice="-5.6018 -0.6210 4.1820 4.4026 -5.4444 -0.4803 5.0901 4.4389 1.9082" Properties=species:S:1:pos:R:3 pbc="T T T"
Li -0.6707 -0.5034 2.2762
Li 4.0296 -1.0666 3.2536
Li 4.8312 -3.1347 0.1247
Li 5.1935 2.0729 1.3832
Li 1.9676 -0.5237 1.6005
Li -3.1900 -0.5612 3.2402
Li 7.3922 0.5095 1.4086
Li 7.2137 -2.0566 0.7884
Cd 1.7736 -3.2841 2.2078
Cd 2.1173 1.6576 3.4021
Cd 4.7463 -0.5027 0.7139
Cu 0.0000 0.0000 0.0000
```

Calculated values
- formation energy from the elements (meV per atom) = 59
- SG = I-42m

# 3
## BiSb2Pb8 (GGA-PBE)

Data for crystalline BiSb2Pb8 at its relaxed geometry.

Structure (extended XYZ):
```
11
Lattice="6.2082 -0.1028 -1.4236 -2.7457 7.2920 -2.6055 -0.3831 0.3245 8.2006" Properties=species:S:1:pos:R:3 pbc="T T T"
Bi 3.0898 7.4858 4.1511
Sb 1.1730 4.8427 0.3520
Sb 1.9241 2.6276 3.7875
Pb 0.0205 7.0576 2.4348
Pb 0.6513 5.1973 5.3200
Pb 3.7478 4.8503 2.3080
Pb -1.0000 2.1509 5.3140
Pb -2.1080 5.4185 0.2461
Pb -0.6445 2.6085 1.8228
Pb 2.4445 2.2735 -1.1794
Pb 3.0752 0.4136 1.7052
```

Calculated values
- ΔE_f (raw) (eV/atom) = 0.09
- SG = Cm

# 4
## Dy12Cu3Ir5 (GGA-PBE)

Data for crystalline Dy12Cu3Ir5 at its relaxed geometry.

Structure (extended XYZ):
```
80
Lattice="-4.8258 7.9018 11.0817 9.3303 -9.8979 4.8484 6.6233 8.6020 -9.5220" Properties=species:S:1:pos:R:3 pbc="T T T"
Cu 0.7074 3.2899 8.9391
Cu 3.6031 0.5659 12.1425
Cu 9.3276 0.9160 1.8407
Cu 2.4436 3.9640 -0.1943
Cu -1.4005 7.8274 7.9220
Cu 5.6776 -1.0725 4.8054
Cu 5.4502 7.6784 1.6027
Cu 12.5283 -1.2214 -1.5139
Cu 8.6843 2.6420 6.6024
Cu 1.8002 5.6899 4.5674
Cu 7.5248 6.0400 -5.7344
Cu 10.4204 3.3160 -2.5311
Ir 4.5515 -0.5735 0.8229
Ir 4.6652 -4.9490 2.4242
Ir 0.0000 0.0000 0.0000
Ir 1.3508 1.5640 4.1775
Ir 0.8988 8.2519 0.7798
Ir 2.2523 -0.9980 7.9650
Ir 8.8783 -3.2100 1.4508
Ir 3.3423 12.2159 0.5856
Ir 4.6958 2.9659 7.7707
Ir 4.3241 8.1775 -2.3798
Ir 6.8037 -1.5715 8.7879
Ir 5.5639 3.3030 3.2040
Ir -2.4129 3.9509 5.5408
Ir 3.3117 4.3010 -4.7610
Ir 6.4320 3.6400 -1.3627
Ir 7.7855 -5.6100 5.8225
Ir 7.9768 -0.6480 -2.3368
Ir 2.2496 9.8159 4.9573
Ir 9.7770 5.0420 2.2306
Ir 6.5764 7.1794 5.5852
Dy -2.0242 4.7567 8.1351
Dy 6.2182 0.8073 2.2689
Dy 0.7677 6.3262 9.7399
Dy 0.2139 3.2145 5.8384
Dy 8.2808 3.3937 3.5798
Dy 1.9716 3.3027 11.8141
Dy 8.4769 -1.6777 3.5164
Dy 8.9063 -7.2743 4.1644
Dy 10.6046 0.9126 4.7100
Dy 3.2124 1.3015 9.1143
Dy 2.9904 4.8894 7.3614
Dy 4.8229 -2.1960 13.2117
Dy 9.6389 -1.4433 -0.3032
Dy 2.6607 -0.3709 5.3248
Dy 10.5998 -5.1196 1.8573
Dy 3.0487 7.0377 -0.4176
Dy 2.6090 0.8277 -0.1967
Dy 4.6280 -2.3123 7.5659
Dy 6.3999 -0.0225 10.8405
Dy 3.7851 -2.3533 2.5609
Dy 12.3502 0.2275 1.3371
Dy 5.7194 1.9667 5.5959
Dy 6.8612 3.7061 9.0114
Dy 5.2744 10.8141 1.6238
Dy 5.4085 4.6392 0.8122
Dy 4.2666 2.8998 -2.6033
Dy 5.8534 -4.2082 4.7843
Dy 4.7279 6.6285 -4.4324
Dy -1.2224 6.3784 5.0710
Dy 7.3427 8.9592 3.8472
Dy 6.4998 8.9183 -1.1578
Dy 8.0791 -0.4317 6.8257
Dy 8.5188 5.7783 6.6048
Dy 0.5280 11.7255 4.5508
Dy 1.4889 8.0493 6.7112
Dy 6.3049 8.8020 -6.8036
Dy 8.4671 6.9768 1.0833
Dy 0.5232 5.6933 1.6981
Dy 7.9154 5.3044 -2.7062
Dy 8.1375 1.7166 -0.9533
Dy 2.2215 13.8803 2.2437
Dy 2.6509 8.2837 2.8916
Dy 10.9140 3.3914 0.5697
Dy 9.1563 3.3032 -5.4060
Dy 2.8470 3.2122 2.8283
Dy 10.3601 0.2798 -3.3318
Dy 4.9096 5.7986 4.1391
Dy 13.1520 1.8493 -1.7271
```

Calculated values
- formation energy from the elements (meV per atom) = -143
- SG = Ia-3d

# 5
## TiAl2Pd3 (GGA-PBE)

Data for crystalline TiAl2Pd3 at its relaxed geometry.

Structure (extended XYZ):
```
6
Lattice="-2.6985 -0.6714 -1.1057 1.2019 -2.2471 -1.5689 -1.6051 -6.2384 7.7053" Properties=species:S:1:pos:R:3 pbc="T T T"
Ti -1.5509 -4.5784 2.5154
Al -2.0962 -6.6979 5.1332
Al -1.0056 -2.4589 -0.1025
Pd 0.0000 0.0000 0.0000
Pd -1.1017 -4.2815 5.2883
Pd -0.5035 -1.9568 2.4170
```

Calculated values
- formation energy from the elements (meV per atom) = -766
- SG = P4/mmm

# 6
## Th4OsRhSe2 (GGA-PBE)

Data for crystalline Th4OsRhSe2 at its relaxed geometry.

Structure (extended XYZ):
```
8
Lattice="-1.1268 -2.2045 3.2992 5.7461 -4.9987 -1.3776 5.7754 2.2790 3.4954" Properties=species:S:1:pos:R:3 pbc="T T T"
Th 8.4841 -1.8536 1.6591
Th 1.9107 -3.0706 3.7579
Th 5.0779 -4.0764 1.5890
Th 5.3169 -0.8478 3.8280
Os 5.7608 -1.3598 1.0589
Rh 2.3097 -3.6016 0.9608
Se 5.7754 2.2790 3.4954
Se 2.3243 0.0373 3.3973
```

Calculated values
- ΔE_f (raw) (eV/atom) = -1.13
- SG = P2/m

| no. | M_tot (Bohr magnetons per cell) |
| --- | --- |
| 1 | 1.81 |
| 2 | 0.00 |
| 3 | 0.00 |
| 4 | 0.00 |
| 5 | 0.76 |
| 6 | 0.00 |